Ba3ZnFe2O6 GGA+U optimized geometry; crystal system = trigonal; N(E_F) = 0.4 states/eV/f.u.; electronic total energy = -5.806 eV per atom; symmetry = No. 164; M_tot = 0.67 μB/atom
1.0
6.088 0.000 0.000
-3.044 5.273 0.000
0.000 0.000 6.867
Ba Zn Fe O
3 1 2 6
direct
0.000 0.000 0.000
0.333 0.667 0.660
0.667 0.333 0.340
0.000 0.000 0.500
0.333 0.667 0.229
0.667 0.333 0.771
0.163 0.326 0.303
0.163 0.837 0.303
0.326 0.163 0.697
0.674 0.837 0.303
0.837 0.163 0.697
0.837 0.674 0.697